## Lu2PuTe (PBE-GGA)

Data for a geometry-optimized Lu2PuTe structure.

```
Lu2PuTe
1.0
-4.083 -1.966 1.202
2.260 -2.869 2.983
-0.516 3.177 3.446
Lu Te Pu
2 1 1
direct
0.000 0.000 0.500
0.000 0.500 0.000
0.500 0.500 0.500
0.500 0.000 0.000
```

Computed properties:
- formation energy without anion corrections (meV per atom) = -338
- total DFT energy (no corrections) (eV for the cell shown) = -27.87
- space group = P4/mmm
- crystal system = tetragonal


## LuPuTe (PBE-GGA)

Data for a geometry-optimized LuPuTe structure.

```
LuPuTe
1.0
3.791 0.000 0.000
0.000 5.109 0.000
0.000 -2.554 4.424
Lu Te Pu
1 1 1
direct
0.165 0.000 0.000
0.169 0.333 0.667
0.666 0.667 0.333
```

Computed properties:
- formation energy without anion corrections (meV per atom) = -364
- total DFT energy (no corrections) (eV for the cell shown) = -23.09
- space group = P3m1
- crystal system = trigonal


## Lu2PuTh (PBE-GGA)

Data for a geometry-optimized Lu2PuTh structure.

```
Lu2PuTh
1.0
3.473 0.000 0.000
0.000 3.473 0.000
0.000 0.000 9.822
Lu Th Pu
2 1 1
direct
0.000 0.000 0.753
0.000 0.000 0.247
0.500 0.500 0.500
0.500 0.500 0.000
```

Computed properties:
- total DFT energy (no corrections) (eV for the cell shown) = -30.42
- space group = P4/mmm
- crystal system = tetragonal


## Lu2PuTh (PBE-GGA)

Data for a geometry-optimized Lu2PuTh structure.

```
Lu2PuTh
1.0
-3.626 3.429 -0.127
-3.267 -3.482 -0.738
-0.596 -0.453 4.774
Lu Th Pu
2 1 1
direct
0.000 0.000 0.500
0.000 0.500 0.000
0.500 0.500 0.500
0.500 0.000 0.000
```

Computed properties:
- total DFT energy (no corrections) (eV for the cell shown) = -30.39
- space group = P4/mmm
- crystal system = tetragonal